1.
First-principles (PBE-GGA) data for crystalline K2YBr at its relaxed geometry, as listed in Alexandria via LeMat-Bulk. Values from VASP.

```
&SYSTEM
  ibrav = 0, nat = 4, ntyp = 3
/
ATOMIC_SPECIES
K 39.10 K.upf
Y 88.91 Y.upf
Br 79.90 Br.upf
ATOMIC_POSITIONS crystal
K 0.250 0.250 0.250
K 0.750 0.750 0.750
Y 0.000 0.000 0.000
Br 0.500 0.500 0.500
CELL_PARAMETERS angstrom
0.000 4.561 4.561
4.561 0.000 4.561
4.561 4.561 0.000
```

## Properties
**Calculated volume**: 190 Å³/cell
**Energy relative to the lowest polymorph listed for this composition**: 0.6260 eV/atom
**Formation energy from raw total energies**: 0.15 eV/atom
**Space group**: No. 225

---

2.
First-principles (PBE-GGA) data for crystalline K2YBr at its relaxed geometry, as listed in Alexandria via LeMat-Bulk. Values from VASP.

```
&SYSTEM
  ibrav = 0, nat = 4, ntyp = 3
/
ATOMIC_SPECIES
K 39.10 K.upf
Y 88.91 Y.upf
Br 79.90 Br.upf
ATOMIC_POSITIONS crystal
K 0.000 0.500 0.000
K 0.500 0.000 0.000
Y 0.000 0.000 0.500
Br 0.500 0.500 0.500
CELL_PARAMETERS angstrom
3.268 -6.349 0.000
3.268 6.349 0.000
-0.010 0.000 3.930
```

## Properties
**Calculated volume**: 163 Å³/cell
**Energy relative to the lowest polymorph listed for this composition**: 0.3258 eV/atom
**Formation energy from raw total energies**: -0.15 eV/atom
**Space group**: No. 12

---

3.
First-principles (PBE-GGA) data for crystalline KYBr2 at its relaxed geometry, as listed in Alexandria via LeMat-Bulk. Values from VASP.

```
&SYSTEM
  ibrav = 0, nat = 4, ntyp = 3
/
ATOMIC_SPECIES
K 39.10 K.upf
Y 88.91 Y.upf
Br 79.90 Br.upf
ATOMIC_POSITIONS crystal
K 0.000 0.000 0.000
Y 0.000 0.500 0.500
Br 0.500 0.500 0.229
Br 0.500 0.500 0.771
CELL_PARAMETERS angstrom
3.696 0.000 0.000
0.000 3.971 0.000
0.000 0.000 8.666
```

## Properties
**Calculated volume**: 127 Å³/cell
**Energy relative to the lowest polymorph listed for this composition**: 0.0098 eV/atom
**Formation energy from raw total energies**: -1.20 eV/atom
**Space group**: No. 47

---

4.
First-principles (PBE-GGA) data for crystalline K3YBr8 at its relaxed geometry, as listed in Alexandria via LeMat-Bulk. Values from VASP.

```
&SYSTEM
  ibrav = 0, nat = 12, ntyp = 3
/
ATOMIC_SPECIES
K 39.10 K.upf
Y 88.91 Y.upf
Br 79.90 Br.upf
ATOMIC_POSITIONS crystal
K 0.000 0.000 0.000
K 0.250 0.750 0.500
K 0.750 0.250 0.500
Y 0.500 0.500 0.000
Br 0.160 0.160 0.545
Br 0.160 0.615 0.000
Br 0.385 0.385 0.545
Br 0.385 0.840 0.000
Br 0.615 0.160 0.000
Br 0.615 0.615 0.455
Br 0.840 0.385 0.000
Br 0.840 0.840 0.455
CELL_PARAMETERS angstrom
-3.721 3.721 7.916
3.721 -3.721 7.916
3.721 3.721 -7.916
```

## Properties
**Calculated volume**: 438 Å³/cell
**Formation energy from raw total energies**: -1.35 eV/atom
**Space group**: No. 139

---

5.
First-principles (PBE-GGA) data for crystalline KYBr at its relaxed geometry, as listed in Alexandria via LeMat-Bulk. Values from VASP.

```
&SYSTEM
  ibrav = 0, nat = 3, ntyp = 3
/
ATOMIC_SPECIES
K 39.10 K.upf
Y 88.91 Y.upf
Br 79.90 Br.upf
ATOMIC_POSITIONS crystal
K 0.000 0.000 0.000
Y 0.714 0.714 0.000
Br 0.333 0.333 0.000
CELL_PARAMETERS angstrom
-1.817 1.817 7.689
1.817 -1.817 7.689
1.817 1.817 -7.689
```

## Properties
**Calculated volume**: 102 Å³/cell
**Energy relative to the lowest polymorph listed for this composition**: 0.1295 eV/atom
**Formation energy from raw total energies**: -0.54 eV/atom
**Space group**: No. 107

---

6.
First-principles (PBE-GGA) data for crystalline K2YBr at its relaxed geometry, as listed in Alexandria via LeMat-Bulk. Values from VASP.

```
&SYSTEM
  ibrav = 0, nat = 4, ntyp = 3
/
ATOMIC_SPECIES
K 39.10 K.upf
Y 88.91 Y.upf
Br 79.90 Br.upf
ATOMIC_POSITIONS crystal
K 0.000 0.000 0.184
K 0.000 0.000 0.816
Y 0.500 0.500 0.500
Br 0.500 0.500 0.000
CELL_PARAMETERS angstrom
3.759 0.000 0.000
0.000 3.759 0.000
0.000 0.000 11.128
```

## Properties
**Calculated volume**: 157 Å³/cell
**Energy relative to the lowest polymorph listed for this composition**: 0.0105 eV/atom
**Formation energy from raw total energies**: -0.47 eV/atom
**Space group**: No. 123

---

7.
First-principles (PBE-GGA) data for crystalline K2YBr at its relaxed geometry, as listed in Alexandria via LeMat-Bulk. Values from VASP.

```
&SYSTEM
  ibrav = 0, nat = 4, ntyp = 3
/
ATOMIC_SPECIES
K 39.10 K.upf
Y 88.91 Y.upf
Br 79.90 Br.upf
ATOMIC_POSITIONS crystal
K 0.230 0.230 0.230
K 0.770 0.770 0.770
Y 0.000 0.000 0.000
Br 0.500 0.500 0.500
CELL_PARAMETERS angstrom
2.001 1.155 11.723
-2.001 1.155 11.723
0.000 -2.310 11.723
```

## Properties
**Calculated volume**: 163 Å³/cell
**Energy relative to the lowest polymorph listed for this composition**: 0.0000 eV/atom
**Formation energy from raw total energies**: -0.48 eV/atom
**Space group**: No. 166

---

8.
First-principles (PBE-GGA) data for crystalline KYBr2 at its relaxed geometry, as listed in Alexandria via LeMat-Bulk. Values from VASP.

```
&SYSTEM
  ibrav = 0, nat = 4, ntyp = 3
/
ATOMIC_SPECIES
K 39.10 K.upf
Y 88.91 Y.upf
Br 79.90 Br.upf
ATOMIC_POSITIONS crystal
K 0.000 0.000 0.000
Y 0.750 0.750 0.750
Br 0.250 0.250 0.250
Br 0.500 0.500 0.500
CELL_PARAMETERS angstrom
0.000 4.018 4.018
4.018 0.000 4.018
4.018 4.018 0.000
```

## Properties
**Calculated volume**: 130 Å³/cell
**Energy relative to the lowest polymorph listed for this composition**: 0.9078 eV/atom
**Formation energy from raw total energies**: -0.31 eV/atom
**Space group**: No. 216